An optimized crystal structure of MnCo2AsO6. Source: Alexandria, functional PBE+U.

abc: 4.641 5.195 5.195
angles: 90.00 90.00 90.00
Last column: magnetic moment on the atom in μB.
Element x y z (fractional)
O 0.736 0.763 0.763  0.11
O 0.193 0.500 0.500  -0.09
O 0.736 0.237 0.237  0.11
Co 0.945 0.000 0.500  2.71
O 0.736 0.237 0.763  0.11
As 0.605 0.000 0.000  0.02
O 0.240 0.000 0.000  0.02
O 0.736 0.763 0.237  0.11
Mn 0.575 0.500 0.500  3.91
Co 0.945 0.500 0.000  2.71

Properties
D(E_F) in states/eV/cell: 0.39
Crystal system: tetragonal
Uncorrected energy in hartree per atom: -0.227
Space-group type: No. 99